1.
RbMgHgBi | GGA-PBE | optimized geometry

POSCAR file:
```
RbMgHgBi
1.0
5.639 0.000 0.000
2.820 4.884 0.000
2.820 1.628 4.605
Mg Bi Rb Hg
1 1 1 1
direct
0.250 0.250 0.250
0.500 0.500 0.500
0.750 0.750 0.750
0.000 0.000 0.000
```

## Properties
Formation enthalpy at 0 K (eV per atom): -0.144

=====

2.
GaFeTc | GGA-PBE | optimized geometry

POSCAR file:
```
GaFeTc
1.0
-2.029 1.804 2.873
-0.537 -1.807 3.475
1.878 1.313 3.221
Tc Ga Fe
1 1 1
direct
0.000 0.000 0.000
0.500 0.500 0.500
0.250 0.250 0.250
```

## Properties
Formation enthalpy at 0 K (eV per atom): 0.009
Offset from the most stable computed form (eV/atom): 0.0955